FeO (PBE with a Hubbard U, optimized geometry); spin magnetization = 48.06 μB/cell; E_tot = -6.575 eV/atom; crystal system = trigonal
1.0
-2.093 4.636 1.523
-2.961 -4.406 0.089
3.068 -1.861 9.878
Fe O
12 12
direct
0.993 0.325 0.125
0.668 0.675 0.625
0.000 0.337 0.875
0.337 0.000 0.375
0.663 0.663 0.875
0.663 0.663 0.375
0.332 0.007 0.125
0.675 0.668 0.125
0.337 0.000 0.875
0.007 0.332 0.625
0.000 0.337 0.375
0.325 0.993 0.625
0.333 0.667 0.009
0.328 0.336 0.751
0.333 0.667 0.492
0.009 0.672 0.751
0.000 0.000 0.490
0.336 0.328 0.251
0.664 0.991 0.751
0.672 0.009 0.251
0.667 0.333 0.509
0.000 0.000 0.990
0.991 0.664 0.251
0.667 0.333 0.992